[1]
TePb2BrF | PBE | relaxed

Cell lengths 4.383, 8.319, 9.457 Å; angles 93.48, 90.00, 105.28 degrees
Element x y z (fractional)
Br 0.962 0.923 0.790
F 0.695 0.391 0.059
Pb 0.852 0.703 0.083
Pb 0.332 0.663 0.673
Te 0.314 0.628 0.324
F 0.305 0.609 0.941
Pb 0.148 0.297 0.917
Te 0.686 0.372 0.676
Pb 0.668 0.337 0.327
Br 0.038 0.077 0.210

Summary:
The space-group type is C2/m, No. 12. As for the raw formation energy: -1.097 eV/atom. Its calculated density is 6.4 g cm⁻³. For the total DFT energy (no corrections), the calculation gives -3.918 eV/atom. For the total moment, the calculation gives 0.0000 μB/atom. For the density of states at the Fermi level, the calculation gives 0.000 states/eV per atom.

---

[2]
Pm5Tl4Cd | PBE | relaxed

Cell lengths 3.850, 3.850, 19.567 Å; angles 90.00, 90.00, 90.00 degrees
Element x y z (fractional)
Tl 0.000 0.000 0.804
Tl 0.000 0.000 0.399
Tl 0.000 0.000 0.601
Pm 0.500 0.500 0.500
Pm 0.500 0.500 0.096
Pm 0.500 0.500 0.904
Cd 0.000 0.000 0.000
Pm 0.500 0.500 0.299
Tl 0.000 0.000 0.196
Pm 0.500 0.500 0.701

Summary:
Its formation energy is -0.3741 eV/atom. The space-group type is P4/mmm, No. 123. Its calculated density is 9.5 g cm⁻³. For the total DFT energy (no corrections), the calculation gives -3.787 eV/atom. For the total moment, the calculation gives 0.0001 μB/atom. For the density of states at the Fermi level, the calculation gives 1.089 states/eV per atom.

---

[3]
CaAsRh4 | PBE | relaxed

Cell lengths 5.256, 5.256, 5.256 Å; angles 60.00, 60.00, 60.00 degrees
Element x y z (fractional)
Rh 0.376 0.873 0.376
Ca 0.000 0.000 0.000
Rh 0.873 0.376 0.376
Rh 0.376 0.376 0.376
Rh 0.376 0.376 0.873
As 0.750 0.750 0.750

Summary:
Its formation energy is -0.0827 eV/atom. The space-group type is F-43m, No. 216. Its calculated density is 8.5 g cm⁻³. For the total DFT energy (no corrections), the calculation gives -6.092 eV/atom. For the total moment, the calculation gives 0.0000 μB/atom. For the density of states at the Fermi level, the calculation gives 1.500 states/eV per atom.

---

[4]
CeSmCo2 | PBE | relaxed

Cell lengths 3.358, 3.358, 6.809 Å; angles 90.00, 90.00, 90.00 degrees
Element x y z (fractional)
Co 0.000 0.000 0.790
Sm 0.500 0.500 0.500
Ce 0.500 0.500 0.000
Co 0.000 0.000 0.210

Summary:
Its formation energy is -0.0975 eV/atom. The space-group type is P4/mmm, No. 123. Its calculated density is 8.8 g cm⁻³. For the total DFT energy (no corrections), the calculation gives -6.314 eV/atom. For the total moment, the calculation gives 0.0000 μB/atom. For the density of states at the Fermi level, the calculation gives 0.826 states/eV per atom.

---

[5]
Li6CdAg | PBE | relaxed

Cell lengths 8.406, 7.128, 11.685 Å; angles 90.00, 90.00, 126.13 degrees
Element x y z (fractional)
Li 0.000 0.000 0.500
Cd 0.000 0.000 0.249
Li 0.500 0.000 0.500
Cd 0.753 0.507 0.500
Li 0.749 0.497 0.244
Li 0.132 0.752 0.371
Li 0.130 0.748 0.122
Li 0.132 0.752 0.629
Li 0.130 0.748 0.878
Li 0.749 0.497 0.756
Li 0.382 0.252 0.878
Li 0.000 0.000 0.000
Li 0.870 0.252 0.878
Li 0.620 0.752 0.371
Li 0.618 0.748 0.878
Li 0.382 0.252 0.122
Li 0.380 0.248 0.371
Li 0.868 0.248 0.629
Ag 0.500 0.000 0.248
Li 0.618 0.748 0.122
Cd 0.000 0.000 0.751
Li 0.251 0.503 0.244
Ag 0.753 0.506 0.000
Li 0.500 0.000 0.000
Ag 0.247 0.494 0.000
Li 0.868 0.248 0.371
Li 0.380 0.248 0.629
Li 0.251 0.503 0.756
Ag 0.500 0.000 0.752
Li 0.620 0.752 0.629
Cd 0.247 0.493 0.500
Li 0.870 0.252 0.122

Summary:
Its formation energy is -0.1468 eV/atom. The space-group type is Cmmm, No. 65. Its calculated density is 3.1 g cm⁻³. For the total DFT energy (no corrections), the calculation gives -2.053 eV/atom. For the total moment, the calculation gives 0.0000 μB/atom. For the density of states at the Fermi level, the calculation gives 0.399 states/eV per atom.

---

[6]
Al3Cu2Au6 | PBE | relaxed

Cell lengths 4.655, 4.655, 10.165 Å; angles 103.24, 103.24, 90.00 degrees
Element x y z (fractional)
Al 0.000 0.000 0.000
Au 0.603 0.103 0.205
Al 0.828 0.828 0.656
Cu 0.441 0.441 0.883
Au 0.897 0.397 0.795
Au 0.397 0.897 0.795
Au 0.701 0.701 0.403
Cu 0.559 0.559 0.117
Al 0.172 0.172 0.344
Au 0.103 0.603 0.205
Au 0.299 0.299 0.597

Summary:
Its formation energy is 0.0584 eV/atom. The space-group type is I4/mmm, No. 139. Its calculated density is 11.1 g cm⁻³. For the total DFT energy (no corrections), the calculation gives -3.495 eV/atom. For the total moment, the calculation gives 0.0000 μB/atom. For the density of states at the Fermi level, the calculation gives 0.309 states/eV per atom.

---

[7]
La4CeTh3S8 | PBE | relaxed

Cell lengths 8.169, 8.206, 8.171 Å; angles 119.88, 119.99, 90.00 degrees
Each line ends with the local moment (μB).
Element x y z (fractional)
Th 0.500 0.500 0.000  0.00
S 0.748 0.743 0.996  0.00
S 0.748 0.744 0.496  0.00
Ce 0.000 0.500 0.000  0.57
S 0.252 0.257 0.004  0.00
La 0.500 0.000 0.500  0.00
La 0.000 0.000 0.000  0.00
La 0.000 0.000 0.500  0.00
Th 0.500 0.500 0.500  0.00
S 0.753 0.257 0.505  0.00
S 0.247 0.743 0.996  0.00
S 0.247 0.743 0.495  0.00
S 0.252 0.256 0.504  0.00
S 0.753 0.257 0.004  0.00
Th 0.000 0.500 0.500  0.00
La 0.500 0.000 0.000  -0.01

Summary:
The space-group type is R-3m, No. 166. As for the raw formation energy: -2.030 eV/atom. Its calculated density is 7.1 g cm⁻³. For the total DFT energy (no corrections), the calculation gives -7.087 eV/atom. For the total moment, the calculation gives 0.0376 μB/atom. For the density of states at the Fermi level, the calculation gives 0.619 states/eV per atom.

---

[8]
BaCrPb3 | PBE | relaxed

Cell lengths 6.273, 6.273, 6.273 Å; angles 90.00, 90.00, 90.00 degrees
Each line ends with the local moment (μB).
Element x y z (fractional)
Pb 0.000 0.000 0.500  -0.02
Cr 0.500 0.500 0.500  4.33
Ba 0.000 0.000 0.000  -0.05
Pb 0.500 0.000 0.000  -0.02
Pb 0.000 0.500 0.000  -0.08

Summary:
Its formation energy is 1.3156 eV/atom. The space-group type is Pm-3m, No. 221. Its calculated density is 5.5 g cm⁻³. For the total DFT energy (no corrections), the calculation gives -3.219 eV/atom. For the total moment, the calculation gives 0.9560 μB/atom. For the density of states at the Fermi level, the calculation gives 1.127 states/eV per atom.